Entry 1:
# Nd5Sm8Dy

A geometry-optimized Nd5Sm8Dy structure (PBE, Alexandria via LeMat-Bulk).

Calculated values
* M_tot: 0.00 μB/atom
* calculated total energy: -4.490 eV per atom

Cell and atoms, written as CIF:
```
data_Nd5Sm8Dy
_chemical_formula_sum 'Nd10 Sm16 Dy2'
_symmetry_space_group_name_H-M 'I -4'
_symmetry_Int_Tables_number 82
_cell_length_a 9.761
_cell_length_b 9.761
_cell_length_c 10.256
_cell_angle_alpha 90.00
_cell_angle_beta 90.00
_cell_angle_gamma 90.00
loop_
_symmetry_equiv_pos_as_xyz
'x,y,z'
'y,-x,-z'
'-x,-y,z'
'-y,x,-z'
'x+1/2,y+1/2,z+1/2'
'y+1/2,-x+1/2,-z+1/2'
'-x+1/2,-y+1/2,z+1/2'
'-y+1/2,x+1/2,-z+1/2'
loop_
_atom_site_label
_atom_site_type_symbol
_atom_site_fract_x
_atom_site_fract_y
_atom_site_fract_z
Nd1 Nd 0.000 0.000 0.000
Nd2 Nd 0.108 0.789 0.423
Sm1 Sm 0.070 0.674 0.096
Sm2 Sm 0.084 0.819 0.754
Dy1 Dy 0.000 0.500 0.750
```



Entry 2:
# Hf3NiB

A geometry-optimized Hf3NiB structure (PBE, Alexandria via LeMat-Bulk).

Calculated values
* M_tot: 0.00 μB/atom
* relative energy among the computed polymorphs: 0.000 eV/atom

Cell and atoms, written as CIF:
```
data_Hf3NiB
_chemical_formula_sum 'Hf3 Ni1 B1'
_symmetry_space_group_name_H-M 'P m -3 m'
_symmetry_Int_Tables_number 221
_symmetry_space_group_name_Hall '-P 4 2 3'
_cell_length_a 4.497
_cell_length_b 4.497
_cell_length_c 4.497
_cell_angle_alpha 90.00
_cell_angle_beta 90.00
_cell_angle_gamma 90.00
loop_
_atom_site_label
_atom_site_type_symbol
_atom_site_fract_x
_atom_site_fract_y
_atom_site_fract_z
Hf1 Hf 0.000 0.000 0.500
Ni1 Ni 0.500 0.500 0.500
B1 B 0.000 0.000 0.000
```



Entry 3:
# CaScV2Hg

A geometry-optimized CaScV2Hg structure (PBE, Alexandria via LeMat-Bulk).

Calculated values
* M_tot: 1.39 μB/atom
* calculated total energy: -4.441 eV per atom

Cell and atoms, written as CIF:
```
data_CaScV2Hg
_chemical_formula_sum 'Ca1 Sc1 V2 Hg1'
_symmetry_space_group_name_H-M 'P 4/m m m'
_symmetry_Int_Tables_number 123
_symmetry_space_group_name_Hall '-P 4 2'
_cell_length_a 5.222
_cell_length_b 5.222
_cell_length_c 5.236
_cell_angle_alpha 90.00
_cell_angle_beta 90.00
_cell_angle_gamma 90.00
loop_
_atom_site_label
_atom_site_type_symbol
_atom_site_fract_x
_atom_site_fract_y
_atom_site_fract_z
Ca1 Ca 0.000 0.000 0.000
Sc1 Sc 0.500 0.500 0.000
V1 V 0.000 0.500 0.500
Hg1 Hg 0.500 0.500 0.500
```



Entry 4:
# Sm2Tm7Tl2

A geometry-optimized Sm2Tm7Tl2 structure (PBE, Alexandria via LeMat-Bulk).

Calculated values
* M_tot: 0.00 μB/atom
* calculated total energy: -4.099 eV per atom

Cell and atoms, written as CIF:
```
data_Sm2Tm7Tl2
_chemical_formula_sum 'Sm4 Tm14 Tl4'
_symmetry_space_group_name_H-M 'C 1 2/m 1'
_symmetry_Int_Tables_number 12
_cell_length_a 8.933
_cell_length_b 9.502
_cell_length_c 8.154
_cell_angle_alpha 90.00
_cell_angle_beta 104.98
_cell_angle_gamma 90.00
loop_
_symmetry_equiv_pos_as_xyz
'x,y,z'
'-x,-y,-z'
'-x,y,-z'
'x,-y,z'
'x+1/2,y+1/2,z'
'-x+1/2,-y+1/2,-z'
'-x+1/2,y+1/2,-z'
'x+1/2,-y+1/2,z'
loop_
_atom_site_label
_atom_site_type_symbol
_atom_site_fract_x
_atom_site_fract_y
_atom_site_fract_z
Sm1 Sm 0.000 0.181 0.000
Tm1 Tm 0.000 0.000 0.500
Tm2 Tm 0.180 0.297 0.671
Tm3 Tm 0.193 0.500 0.026
Tl1 Tl 0.113 0.500 0.353
```



Entry 5:
# Pm12Rh6N

A geometry-optimized Pm12Rh6N structure (PBE, Alexandria via LeMat-Bulk).

Calculated values
* M_tot: 0.00 μB/atom
* formation energy without anion corrections: -0.589 eV/atom

Cell and atoms, written as CIF:
```
data_Pm12Rh6N
_chemical_formula_sum 'Pm36 Rh18 N3'
_symmetry_space_group_name_H-M 'R -3'
_symmetry_Int_Tables_number 148
_symmetry_space_group_name_Hall '-R 3'
_cell_length_a 12.4350
_cell_length_b 12.4350
_cell_length_c 11.7503
_cell_angle_alpha 90.00
_cell_angle_beta 90.00
_cell_angle_gamma 120.00
loop_
_atom_site_label
_atom_site_type_symbol
_atom_site_fract_x
_atom_site_fract_y
_atom_site_fract_z
Pm1 Pm 0.0245 0.8083 0.3922
Pm2 Pm 0.0372 0.8453 0.8862
Rh1 Rh 0.0492 0.7799 0.6505
N1 N 0.0000 0.0000 0.0000
```



Entry 6:
# SrMg3B

A geometry-optimized SrMg3B structure (PBE, Alexandria via LeMat-Bulk).

Calculated values
* M_tot: 0.41 μB/atom
* relative energy among the computed polymorphs: 1.651 eV/atom

Cell and atoms, written as CIF:
```
data_SrMg3B
_chemical_formula_sum 'Sr1 Mg3 B1'
_symmetry_space_group_name_H-M 'P m -3 m'
_symmetry_Int_Tables_number 221
_symmetry_space_group_name_Hall '-P 4 2 3'
_cell_length_a 6.563
_cell_length_b 6.563
_cell_length_c 6.563
_cell_angle_alpha 90.00
_cell_angle_beta 90.00
_cell_angle_gamma 90.00
loop_
_atom_site_label
_atom_site_type_symbol
_atom_site_fract_x
_atom_site_fract_y
_atom_site_fract_z
Sr1 Sr 0.000 0.000 0.000
Mg1 Mg 0.000 0.000 0.500
B1 B 0.500 0.500 0.500
```



Entry 7:
# TbMgGa2Ni5

A geometry-optimized TbMgGa2Ni5 structure (PBE, Alexandria via LeMat-Bulk).

Calculated values
* M_tot: 0.00 μB/atom
* calculated total energy: -4.810 eV per atom

Cell and atoms, written as CIF:
```
data_TbMgGa2Ni5
_chemical_formula_sum 'Tb1 Mg1 Ga2 Ni5'
_symmetry_space_group_name_H-M 'P 4/m m m'
_symmetry_Int_Tables_number 123
_symmetry_space_group_name_Hall '-P 4 2'
_cell_length_a 3.888
_cell_length_b 3.888
_cell_length_c 8.950
_cell_angle_alpha 90.00
_cell_angle_beta 90.00
_cell_angle_gamma 90.00
loop_
_atom_site_label
_atom_site_type_symbol
_atom_site_fract_x
_atom_site_fract_y
_atom_site_fract_z
Tb1 Tb 0.000 0.000 0.000
Mg1 Mg 0.000 0.000 0.500
Ga1 Ga 0.500 0.500 0.362
Ni1 Ni 0.000 0.500 0.217
Ni2 Ni 0.500 0.500 0.000
```



Entry 8:
# CaTb2NdIn4

A geometry-optimized CaTb2NdIn4 structure (PBE, Alexandria via LeMat-Bulk).

Calculated values
* M_tot: 0.00 μB/atom
* calculated total energy: -3.844 eV per atom

Cell and atoms, written as CIF:
```
data_CaTb2NdIn4
_chemical_formula_sum 'Ca3 Tb6 Nd3 In12'
_symmetry_space_group_name_H-M 'R -3 m'
_symmetry_Int_Tables_number 166
_symmetry_space_group_name_Hall '-R 3 2"'
_cell_length_a 5.3853
_cell_length_b 5.3853
_cell_length_c 26.5740
_cell_angle_alpha 90.00
_cell_angle_beta 90.00
_cell_angle_gamma 120.00
loop_
_atom_site_label
_atom_site_type_symbol
_atom_site_fract_x
_atom_site_fract_y
_atom_site_fract_z
Ca1 Ca 0.0000 0.0000 0.0000
Tb1 Tb 0.0000 0.0000 0.2521
Nd1 Nd 0.0000 0.0000 0.5000
In1 In 0.0000 0.0000 0.1249
In2 In 0.0000 0.0000 0.3748
```



Question: What is the formula in the second record?
Answer: Hf3NiB